PBE+U La2CoNO3, relaxed; V = 13.2 Å³ per atom; final energy = -106.4 eV/cell; symmetry = Cmcm
1.0
6.412 -2.695 0.000
6.412 2.695 0.000
0.000 0.000 5.329
La Co N O
4 2 2 6
direct
0.107 0.616 0.750
0.384 0.893 0.750
0.616 0.107 0.250
0.893 0.384 0.250
0.263 0.737 0.250
0.737 0.263 0.750
0.500 0.500 0.000
0.500 0.500 0.500
0.000 0.000 0.000
0.000 0.000 0.500
0.058 0.585 0.250
0.415 0.942 0.250
0.585 0.058 0.750
0.942 0.415 0.750